Computed, not measured: Sr4Ta3VO12 after structural relaxation at the GGA+U level of DFT.

Unit cell a=8.117 b=8.117 c=8.117 alpha=90.00 beta=90.00 gamma=90.00
Space group Im-3m (No. 229)
Symmetry-distinct sites (fractional):
Sr1 0.250 0.250 0.250 (multiplicity 8)
Ta1 0.000 0.000 0.500 (multiplicity 6)
V1 0.000 0.000 0.000 (multiplicity 2)
O1 0.000 0.000 0.257 (multiplicity 12)
O2 0.000 0.250 0.500 (multiplicity 12)

Values from the calculation:
* density: 7.06 g/cm3
* total energy: -8.330 eV/atom
* crystal system: cubic